Density functional theory data (PBE-GGA) for KBaCa2 after structural relaxation.

Properties
Magnetic moment ... 0.00 μB per cell
Total energy ... -1.62 eV per atom
Calculated formation energy ... 0.136 eV/atom

abc: 7.439 7.439 4.120
angles: 90.00 90.00 111.84
Element x y z (fractional)
Ca (0.000, 0.000, 0.000)
Ca (0.500, 0.500, 0.000)
Ba (0.000, 0.500, 0.500)
K (0.500, 0.000, 0.500)